# 1
The following is a PBE calculation of a relaxed ScBiTe2I crystal, from the Alexandria database.

a b c (Å): 5.662 5.662 5.456
angles (deg): 90.00 90.00 90.00
Element x y z (fractional)
Te (0.500, 0.000, 0.000)
Te (0.000, 0.500, 0.000)
I (0.000, 0.000, 0.500)
Bi (0.500, 0.500, 0.500)
Sc (0.000, 0.000, 0.000)

Calculated values
SG: P4/mmm
D(E_F) (states/eV per atom): 0.77
Total moment (μB/atom): 0.000
Relative energy among the computed polymorphs (eV/atom): 0.0000

---

# 2
The following is a PBE calculation of a relaxed ScTi2BiI crystal, from the Alexandria database.

a b c (Å): 5.204 5.166 5.204
angles (deg): 90.00 90.00 90.00
Element x y z (fractional)
Ti (0.500, 0.000, 0.000)
Ti (0.000, 0.000, 0.500)
Sc (0.000, 0.000, 0.000)
Bi (0.500, 0.500, 0.500)
I (0.000, 0.500, 0.000)

Calculated values
SG: P4/mmm
E_tot (eV per atom): -4.52
D(E_F) (states/eV per atom): 1.61
Total moment (μB/atom): 0.000

---

# 3
The following is a PBE calculation of a relaxed ScVBiI2 crystal, from the Alexandria database.

a b c (Å): 6.299 5.619 6.299
angles (deg): 90.00 90.00 90.00
Element x y z (fractional)
I (0.000, 0.000, 0.500)
I (0.500, 0.000, 0.000)
Bi (0.000, 0.000, 0.000)
Sc (0.000, 0.500, 0.000)
V (0.500, 0.500, 0.500)

Calculated values
SG: P4/mmm
E_tot (eV per atom): -3.53
D(E_F) (states/eV per atom): 2.92
Total moment (μB/atom): 0.990

---

# 4
The following is a PBE calculation of a relaxed BiSe2I2 crystal, from the Alexandria database.

a b c (Å): 8.026 8.519 8.486
angles (deg): 80.34 69.13 61.90
Element x y z (fractional)
I (0.992, 0.568, 0.757)
I (0.561, 0.432, 0.757)
I (0.008, 0.432, 0.243)
I (0.439, 0.568, 0.243)
Se (0.916, 0.000, 0.243)
Se (0.743, 0.000, 0.078)
Se (0.257, 0.000, 0.922)
Se (0.084, 0.000, 0.757)
Bi (0.837, 0.327, 0.000)
Bi (0.163, 0.673, 0.000)

Calculated values
SG: C2/m
E_tot (eV per atom): -2.97
Total moment (μB/atom): 0.000

---

# 5
The following is a PBE calculation of a relaxed Bi2SeI2 crystal, from the Alexandria database.

a b c (Å): 6.551 9.610 13.410
angles (deg): 90.00 90.00 90.00
Element x y z (fractional)
Bi (0.250, 0.584, 0.231)
Bi (0.750, 0.371, 0.445)
Bi (0.250, 0.629, 0.555)
Bi (0.750, 0.416, 0.769)
Bi (0.250, 0.129, 0.945)
Bi (0.750, 0.916, 0.731)
Bi (0.750, 0.871, 0.055)
Bi (0.250, 0.084, 0.269)
I (0.250, 0.832, 0.075)
I (0.750, 0.087, 0.290)
I (0.250, 0.413, 0.790)
I (0.750, 0.587, 0.210)
I (0.750, 0.668, 0.575)
I (0.750, 0.168, 0.925)
I (0.250, 0.332, 0.425)
I (0.250, 0.913, 0.710)
Se (0.250, 0.270, 0.119)
Se (0.750, 0.730, 0.881)
Se (0.250, 0.770, 0.381)
Se (0.750, 0.230, 0.619)

Calculated values
SG: Pnma
D(E_F) (states/eV per atom): 0.54
Total moment (μB/atom): 0.000
Relative energy among the computed polymorphs (eV/atom): 0.0000

---

# 6
The following is a PBE calculation of a relaxed Bi2SeI crystal, from the Alexandria database.

a b c (Å): 8.477 8.477 7.039
angles (deg): 52.98 52.98 90.00
Element x y z (fractional)
Bi (0.594, 0.125, 0.250)
Bi (0.156, 0.625, 0.250)
Bi (0.375, 0.406, 0.750)
Bi (0.875, 0.844, 0.750)
I (0.000, 0.000, 0.000)
I (0.750, 0.250, 0.500)
Se (0.250, 0.750, 0.500)
Se (0.500, 0.500, 0.000)

Calculated values
SG: I-42d
E_tot (eV per atom): -3.18
D(E_F) (states/eV per atom): 0.64
Total moment (μB/atom): 0.000